Entry 1:
The following is a GGA-PBE calculation of a geometry-optimized Pa3Si4Pd2 structure, from Alexandria via LeMat-Bulk.

Properties
Space-group type   Immm
ΔE_f (raw)   -0.25 eV/atom

```
Pa3Si4Pd2
1.0
-1.322 0.109 3.463
-1.525 -7.272 1.632
5.439 -3.307 4.165
Pd Pa Si
2 3 4
Direct
0.000 0.237 0.763
0.000 0.763 0.237
0.500 0.500 0.500
0.622 0.878 0.878
0.378 0.122 0.122
0.194 0.521 0.091
0.194 0.091 0.521
0.806 0.909 0.479
0.806 0.479 0.909
```

=====

Entry 2:
The following is a GGA-PBE calculation of a geometry-optimized InOs2Au structure, from Alexandria via LeMat-Bulk.

Properties
Space-group type   I-4m2
Formation energy from the elements   0.6206 eV per atom

```
InOs2Au
1.0
-0.045 4.057 -2.741
-1.735 -1.192 -4.421
-1.788 -0.857 4.477
Os Au In
2 1 1
Direct
0.000 0.000 0.000
0.250 0.750 0.500
0.500 0.500 0.000
0.750 0.250 0.500
```

=====

Entry 3:
The following is a GGA-PBE calculation of a geometry-optimized Tb4PrTl2 structure, from Alexandria via LeMat-Bulk.

Properties
Space-group type   R-3m
Formation energy from the elements   0.0832 eV per atom

```
Tb4PrTl2
1.0
5.133 0.000 0.000
2.567 4.445 0.000
2.567 1.482 10.527
Tb Pr Tl
4 1 2
Direct
0.704 0.704 0.887
0.109 0.109 0.674
0.296 0.296 0.113
0.891 0.891 0.326
0.500 0.500 0.500
0.398 0.398 0.805
0.602 0.602 0.195
```

=====

Entry 4:
The following is a GGA-PBE calculation of a geometry-optimized RbBaCu2I6 structure, from Alexandria via LeMat-Bulk.

Properties
Space-group type   C2/c
ΔE_f (raw)   -0.85 eV/atom

```
RbBaCu2I6
1.0
9.890 -0.996 0.101
-2.199 9.694 0.101
-2.136 -2.416 10.260
I Cu Ba Rb
12 4 2 2
Direct
0.179 0.207 0.095
0.430 0.688 0.078
0.821 0.793 0.905
0.207 0.179 0.595
0.482 0.902 0.695
0.312 0.570 0.422
0.688 0.430 0.578
0.518 0.098 0.305
0.098 0.518 0.805
0.902 0.482 0.195
0.570 0.312 0.922
0.793 0.821 0.405
0.112 0.397 0.227
0.888 0.603 0.773
0.603 0.888 0.273
0.397 0.112 0.727
0.547 0.453 0.250
0.453 0.547 0.750
0.879 0.121 0.750
0.121 0.879 0.250
```

=====

Entry 5:
The following is a GGA-PBE calculation of a geometry-optimized Al2SeCl structure, from Alexandria via LeMat-Bulk.

Properties
Space-group type   Immm
ΔE_f (raw)   -0.16 eV/atom

```
Al2SeCl
1.0
-0.328 0.184 -5.314
-5.323 0.071 -0.189
4.104 3.004 1.583
Al Cl Se
2 1 1
Direct
0.991 0.991 0.000
0.509 0.509 0.000
0.250 0.750 0.500
0.750 0.250 0.500
```

=====

Entry 6:
The following is a GGA-PBE calculation of a geometry-optimized ZrCo3 structure, from Alexandria via LeMat-Bulk.

Properties
Space-group type   P6_3/mmc
Formation energy from the elements   -0.1227 eV per atom

```
ZrCo3
1.0
-1.569 3.780 0.906
-4.285 -1.051 -3.038
-0.033 -1.262 5.206
Co Zr
6 2
Direct
0.750 0.849 0.698
0.750 0.849 0.151
0.750 0.302 0.151
0.250 0.151 0.849
0.250 0.151 0.302
0.250 0.698 0.849
0.750 0.333 0.667
0.250 0.667 0.333
```

=====

Entry 7:
The following is a GGA-PBE calculation of a geometry-optimized Na4Ac3ZnO8 structure, from Alexandria via LeMat-Bulk.

Properties
Space-group type   C2/m
ΔE_f (raw)   -2.11 eV/atom

```
Na4Ac3ZnO8
1.0
-1.844 -0.754 6.786
-3.316 -5.789 -1.545
7.397 0.515 -1.618
Na Ac O Zn
4 3 8 1
Direct
0.500 0.000 0.000
0.000 0.000 0.500
0.000 0.000 0.000
0.500 0.000 0.500
0.500 0.500 0.500
0.500 0.500 0.000
0.000 0.500 0.500
0.818 0.318 0.051
0.767 0.682 0.949
0.277 0.277 0.554
0.182 0.682 0.949
0.296 0.787 0.591
0.723 0.723 0.446
0.233 0.318 0.051
0.704 0.213 0.409
0.000 0.500 0.000
```

=====

Entry 8:
The following is a GGA-PBE calculation of a geometry-optimized Pm12MgPb6 structure, from Alexandria via LeMat-Bulk.

Properties
Space-group type   R-3
Formation energy from the elements   -0.1230 eV per atom

```
Pm12MgPb6
1.0
9.100 -0.204 -0.245
-1.581 8.964 -0.245
-1.581 -1.842 8.776
Pm Mg Pb
12 1 6
Direct
0.192 0.409 0.552
0.409 0.552 0.192
0.448 0.808 0.591
0.330 0.051 0.953
0.949 0.047 0.670
0.051 0.953 0.330
0.552 0.192 0.409
0.808 0.591 0.448
0.953 0.330 0.051
0.047 0.670 0.949
0.591 0.448 0.808
0.670 0.949 0.047
0.000 0.000 0.000
0.875 0.373 0.677
0.627 0.323 0.125
0.125 0.627 0.323
0.323 0.125 0.627
0.373 0.677 0.875
0.677 0.875 0.373
```